[1]
The following is a PBE calculation of crystalline Tb4GaS2 at its relaxed geometry, from Alexandria.

```
Tb4GaS2
1.0
3.915 0.000 0.000
-1.957 6.494 0.000
0.000 0.000 13.454
Tb Ga S
8 2 4
Cartesian
1.957 3.530 1.618
1.957 3.530 5.109
0.000 2.964 11.836
0.000 2.964 8.345
1.957 5.690 10.090
0.000 0.804 3.363
1.957 0.000 0.000
1.957 0.000 6.727
1.957 1.407 10.090
0.000 5.086 3.363
0.000 1.768 5.915
1.957 4.726 12.642
0.000 1.768 0.812
1.957 4.726 7.539
```

Uncorrected energy = -5.61 eV/atom

=====

[2]
The following is a PBE calculation of crystalline Sm2HgAs at its relaxed geometry, from Alexandria.

```
Sm2HgAs
1.0
-2.538 -0.913 2.690
-0.628 -3.338 -1.725
5.090 -2.926 3.809
As Hg Sm
1 1 2
Cartesian
-1.583 -2.125 0.483
0.962 -3.588 2.387
3.910 -2.247 2.926
1.180 -0.678 0.883
```

Calculated formation energy = -78.5 kJ/mol of atoms
Energy above the most stable polymorph in this dataset = 120 meV per atom

=====

[3]
The following is a PBE calculation of crystalline NaLaTmSn at its relaxed geometry, from Alexandria.

```
NaLaTmSn
1.0
-1.859 1.033 -5.008
-1.196 -4.109 -3.360
-5.186 -1.069 -1.252
Na Tm Sn La
1 1 1 1
Cartesian
-6.180 -3.109 -7.215
-4.120 -2.073 -4.810
-2.060 -1.036 -2.405
0.000 0.000 0.000
```

Calculated formation energy = -26.4 kJ/mol of atoms